1.
The following is a PBE calculation of a relaxed Sm2MnAs3Pt4 crystal, from Alexandria.

```
Sm2MnAs3Pt4
1.0
-1.663 3.833 0.736
-3.238 -1.801 2.066
5.492 0.625 9.152
As Pt Mn Sm
3 4 1 2
Direct
0.000 0.500 0.137
0.500 0.000 0.863
0.000 0.000 0.500
0.000 0.500 0.364
0.500 0.000 0.636
0.000 0.000 0.000
0.500 0.500 0.000
0.500 0.500 0.500
0.500 0.000 0.236
0.000 0.500 0.764
```

Results
SG = P-4m2, No. 115
uncorrected energy = -6.468 eV/atom
crystal system = tetragonal

***

2.
The following is a PBE calculation of a relaxed ThNp4Ga15 crystal, from Alexandria.

```
ThNp4Ga15
1.0
-1.266 1.588 3.786
-4.103 -0.356 -1.223
-0.696 -19.944 8.135
Ga Th Np
15 1 4
Direct
0.500 0.500 0.000
0.500 0.000 0.303
0.000 0.500 0.107
0.500 0.000 0.500
0.500 0.000 0.107
0.500 0.000 0.893
0.500 0.500 0.401
0.000 0.500 0.500
0.000 0.500 0.893
0.500 0.500 0.599
0.000 0.500 0.697
0.500 0.500 0.204
0.500 0.000 0.697
0.000 0.500 0.303
0.500 0.500 0.796
0.000 0.000 0.000
0.000 0.000 0.204
0.000 0.000 0.796
0.000 0.000 0.598
0.000 0.000 0.402
```

Results
SG = P4/mmm, No. 123
uncorrected energy = -5.484 eV/atom
crystal system = tetragonal

***

3.
The following is a PBE calculation of a relaxed YHo5Th5 crystal, from Alexandria.

```
YHo5Th5
1.0
6.294 0.000 0.000
-3.147 5.451 0.000
0.000 0.000 11.135
Ho Y Th
5 1 5
Direct
0.667 0.333 0.819
0.000 0.000 0.000
0.333 0.667 0.327
0.667 0.333 0.181
0.333 0.667 0.673
0.333 0.667 0.000
0.347 0.173 0.500
0.000 0.000 0.269
0.827 0.653 0.500
0.000 0.000 0.731
0.827 0.173 0.500
```

Results
SG = P-6m2, No. 187
uncorrected energy = -5.668 eV/atom
crystal system = hexagonal

***

| no. | D(E_F) (states/eV/atom) |
| --- | --- |
| 1 | 0.563 |
| 2 | 1.805 |
| 3 | 1.646 |